Compound: TbIrRhPb
Source: Alexandria
Functional: PBE-GGA
Structure: relaxed

Results
**Energy of formation**: -1.57 eV/f.u.
**Total magnetic moment**: 0.00 μB per cell

abc: 6.770 6.770 6.770
angles: 90.00 90.00 90.00
Space group F-43m (No. 216)
Asymmetric unit:
Tb (0.000, 0.000, 0.000)
Ir (0.250, 0.250, 0.250)
Rh (0.250, 0.250, 0.750)
Pb (0.000, 0.000, 0.500)


Compound: TcIrRhPb2
Source: Alexandria
Functional: PBE-GGA
Structure: relaxed

Results
**Energy of formation**: 6.94 eV/f.u.
**Total magnetic moment**: 3.42 μB per cell

abc: 5.223 5.223 4.788
angles: 90.00 90.00 90.00
Space group P4/mmm (No. 123)
Asymmetric unit:
Tc (0.000, 0.000, 0.000)
Ir (0.500, 0.500, 0.500)
Rh (0.500, 0.500, 0.000)
Pb (0.000, 0.500, 0.500)


Compound: TmIrRhPb
Source: Alexandria
Functional: PBE-GGA
Structure: relaxed

Results
**Energy of formation**: -1.75 eV/f.u.
**Total magnetic moment**: 0.00 μB per cell

abc: 6.708 6.708 6.708
angles: 90.00 90.00 90.00
Space group F-43m (No. 216)
Asymmetric unit:
Tm (0.000, 0.000, 0.000)
Ir (0.250, 0.250, 0.750)
Rh (0.250, 0.250, 0.250)
Pb (0.000, 0.000, 0.500)


Compound: YIrRhPb
Source: Alexandria
Functional: PBE-GGA
Structure: relaxed

Results
**Energy of formation**: -1.55 eV/f.u.
**Total magnetic moment**: 0.00 μB per cell

abc: 6.765 6.765 6.765
angles: 90.00 90.00 90.00
Space group F-43m (No. 216)
Asymmetric unit:
Y (0.000, 0.000, 0.000)
Ir (0.250, 0.250, 0.250)
Rh (0.250, 0.250, 0.750)
Pb (0.000, 0.000, 0.500)


Compound: ZrIr2RhPb
Source: Alexandria
Functional: PBE-GGA
Structure: relaxed

Results
**Energy of formation**: 10.11 eV/f.u.
**Total magnetic moment**: 0.52 μB per cell

abc: 4.887 4.887 5.289
angles: 90.00 90.00 90.00
Space group P4/mmm (No. 123)
Asymmetric unit:
Zr (0.000, 0.000, 0.000)
Ir (0.000, 0.500, 0.500)
Rh (0.500, 0.500, 0.000)
Pb (0.000, 0.000, 0.500)


Compound: Ir2RuPb
Source: Alexandria
Functional: PBE-GGA
Structure: relaxed

Results
**Energy of formation**: 2.37 eV/f.u.
**Total magnetic moment**: 0.86 μB per cell

abc: 2.931 4.825 4.777
angles: 90.00 90.34 90.00
Space group P2/m (No. 10)
Asymmetric unit:
Ir (0.234, 0.000, 0.265)
Ru (0.000, 0.500, 0.500)
Pb (0.500, 0.500, 0.000)


Compound: Ir2RuPb
Source: Alexandria
Functional: PBE-GGA
Structure: relaxed

Results
**Energy of formation**: 1.85 eV/f.u.
**Total magnetic moment**: 0.00 μB per cell

abc: 2.894 3.844 6.057
angles: 90.00 90.00 90.00
Space group Pmmm (No. 47)
Asymmetric unit:
Ir (0.000, 0.000, 0.216)
Ru (0.500, 0.500, 0.000)
Pb (0.500, 0.500, 0.500)


Compound: Ir2RuPb
Source: Alexandria
Functional: PBE-GGA
Structure: relaxed

Results
**Energy of formation**: 1.83 eV/f.u.
**Total magnetic moment**: 0.00 μB per cell

abc: 2.883 3.784 6.228
angles: 90.00 90.00 90.00
Space group Pmm2 (No. 25)
Asymmetric unit:
Ir (0.000, 0.000, 0.000)
Ir (0.500, 0.500, 0.223)
Ru (0.500, 0.500, 0.799)
Pb (0.000, 0.000, 0.508)